[1]
Entry from Alexandria: a geometry-optimized PuTaGe2Os structure (PBE).

Properties
SG ... I-4m2, No. 119
DFT formation energy ... -0.294 eV per atom

abc: 4.016 4.016 6.467
angles: 108.09 108.09 90.00
Each line ends with the local moment (μB).
Atoms (fractional coordinates):
Pu 0.000 0.000 0.000  5.27
Ta 0.750 0.250 0.500  -0.01
Ge 0.608 0.608 0.216  -0.02
Ge 0.392 0.392 0.784  -0.02
Os 0.250 0.750 0.500  -0.03

[2]
Entry from Alexandria: a geometry-optimized Tb2PmSm6Ho structure (PBE).

Properties
SG ... C2/c, No. 15
DFT formation energy ... 0.117 eV per atom

abc: 9.658 8.902 8.902
angles: 117.75 93.82 93.82
Atoms (fractional coordinates):
Tb 0.454 0.799 0.699
Tb 0.046 0.301 0.201
Tb 0.546 0.201 0.301
Tb 0.954 0.699 0.799
Pm 0.250 0.975 0.025
Pm 0.750 0.025 0.975
Sm 0.055 0.120 0.755
Sm 0.445 0.245 0.880
Sm 0.945 0.880 0.245
Sm 0.555 0.755 0.120
Sm 0.314 0.986 0.434
Sm 0.186 0.566 0.014
Sm 0.686 0.014 0.566
Sm 0.814 0.434 0.986
Sm 0.119 0.708 0.491
Sm 0.381 0.509 0.292
Sm 0.881 0.292 0.509
Sm 0.619 0.491 0.708
Ho 0.250 0.410 0.590
Ho 0.750 0.590 0.410

[3]
Entry from Alexandria: a geometry-optimized Zr2TaTe structure (PBE).

Properties
E_form (uncorrected) ... -162 meV/atom
SG ... P4mm, No. 99

abc: 3.688 3.688 6.294
angles: 90.00 90.00 90.00
Atoms (fractional coordinates):
Ta 0.000 0.000 0.495
Te 0.500 0.500 0.748
Zr 0.000 0.000 0.996
Zr 0.500 0.500 0.261